Compound: Li2TeRu
Source: the Alexandria database
Functional: PBE
Structure: relaxed

a = 3.5664 Å, b = 4.6060 Å, c = 8.9849 Å
α = 90.00°, β = 90.00°, γ = 90.00°
With the nearest neighbours (Å) after each atom.
Space group Cmmm (No. 65)
Asymmetric unit:
Li 0.0000 0.0000 0.2156  2 Ru 2.63, 4 Li 2.91
Te 0.0000 0.5000 0.5000  4 Te 2.91, 4 Li 3.12
Ru 0.0000 0.5000 0.0000  4 Li 2.63, 4 Ru 2.91

Summary:
The value obtained for the energy relative to the elements, uncorrected is 0.8 eV per formula unit. The value obtained for the total magnetization is 1.11 μB per formula unit. As for the total energy: -3.87 eV/atom.